Entry 1:
A plane-wave DFT calculation with PBE was carried out for a relaxed Tm5HPb5 crystal.

Cell lengths 8.8601, 8.8601, 7.6346 Å; angles 101.51, 101.51, 31.36 degrees
Element x y z (fractional)
Tm  0.0000  0.0000  0.0000
Tm  0.3045  0.3045  0.3727
Tm  0.3516  0.3516  0.8879
Tm  0.6484  0.6484  0.1121
Tm  0.6955  0.6955  0.6273
H  0.5000  0.5000  0.0000
Pb  0.1196  0.1196  0.3681
Pb  0.1614  0.1614  0.8626
Pb  0.5000  0.5000  0.5000
Pb  0.8386  0.8386  0.1374
Pb  0.8804  0.8804  0.6319

Results
final energy = -4.2935 eV/atom
DOS at the Fermi energy = 7.29 states/eV/cell

Entry 2:
A plane-wave DFT calculation with PBE was carried out for a relaxed Sm2TmF crystal.

Cell lengths 8.8008, 8.8008, 8.8008 Å; angles 24.56, 24.56, 24.56 degrees
Element x y z (fractional)
Sm  0.2234  0.2234  0.2234
Sm  0.7766  0.7766  0.7766
Tm  0.0000  0.0000  0.0000
F  0.5000  0.5000  0.5000

Results
final energy = -5.0788 eV/atom
DOS at the Fermi energy = 3.15 states/eV/cell
energy relative to the elements, uncorrected = -1.133 eV per atom

Entry 3:
A plane-wave DFT calculation with PBE was carried out for a relaxed TaFe2Co crystal.

Cell lengths 2.9937, 2.9937, 5.8149 Å; angles 90.00, 90.00, 90.00 degrees
Element x y z (fractional)
Ta  0.0000  0.0000  0.0000
Fe  0.5000  0.5000  0.2693
Fe  0.5000  0.5000  0.7307
Co  0.0000  0.0000  0.5000

Results
energy of formation from the pure elements = -0.014 eV/atom
final energy = -8.9848 eV/atom
DOS at the Fermi energy = 4.11 states/eV/cell

| no. | spin magnetization (μB per cell) | density (g/cm3) | volume (Å³/f.u.) |
| --- | --- | --- | --- |
| 1 | 0.00 | 10.24 | 305.2 |
| 2 | 0.00 | 7.84 | 103.5 |
| 3 | 5.24 | 11.20 | 52.1 |